# 1
The following is a PBE calculation of Ce3Pu3Si2Ge after structural relaxation, from Alexandria.

a = 7.9403 Å, b = 7.9403 Å, c = 3.9590 Å
α = 90.00°, β = 90.00°, γ = 120.00°
Space group P-62m (No. 189)
Unique sites:
Ce 0.0000 0.2815 0.0000
Pu 0.0000 0.5570 0.5000
Si 0.3333 0.6667 0.0000
Ge 0.0000 0.0000 0.5000

Computed properties:
Uncorrected formation energy (eV per atom): -0.384
Total magnetic moment (μB/f.u.): 19.3
DFT total energy (eV/atom): -8.857

***

# 2
The following is a PBE calculation of CePu2SiGe2 after structural relaxation, from Alexandria.

a = 5.761 Å, b = 5.761 Å, c = 10.259 Å
α = 90.00°, β = 90.00°, γ = 90.00°
Space group I4/mmm (No. 139)
Unique sites:
Ce 0.000 0.000 0.000
Pu 0.000 0.500 0.250
Si 0.000 0.000 0.500
Ge 0.000 0.000 0.269

Computed properties:
Uncorrected formation energy (eV per atom): 0.174
Total magnetic moment (μB/f.u.): 12.6
DFT total energy (eV/atom): -8.035